*A*
Material: AcNp2O7
Method: DFT, GGA-PBE
State: relaxed

a = 6.2984 Å, b = 6.2984 Å, c = 4.1211 Å
α = 90.00°, β = 90.00°, γ = 113.67°
Last column: nearest neighbours and their distance in Å.
Atoms (fractional coordinates):
Ac1 0.0000 0.0000 0.0000  10 O 2.80-2.92
Np1 0.3036 0.6964 0.5000  7 O 2.07-2.27
Np2 0.6964 0.3036 0.5000  7 O 2.07-2.27
O1 0.0510 0.3178 0.5000  2 Np 2.20-2.27
O2 0.2772 0.7228 0.0000  2 Np 2.08
O3 0.3178 0.0510 0.5000  2 Np 2.20-2.27
O4 0.5000 0.5000 0.5000  2 Np 2.07
O5 0.6822 0.9490 0.5000  2 Np 2.20-2.27
O6 0.7228 0.2772 0.0000  2 Np 2.08
O7 0.9490 0.6822 0.5000  2 Np 2.20-2.27

Summary:
Its crystal system is orthorhombic.

---

*B*
Material: AcNp2O7
Method: DFT, GGA-PBE
State: relaxed

a = 10.8754 Å, b = 10.8754 Å, c = 10.8754 Å
α = 20.64°, β = 20.64°, γ = 20.64°
Last column: nearest neighbours and their distance in Å.
Atoms (fractional coordinates):
Ac1 0.0000 0.0000 0.0000  8 O 2.51-2.65
Np1 0.4355 0.4355 0.4355  5 O 2.06-2.28
Np2 0.5645 0.5645 0.5645  5 O 2.06-2.28
O1 0.0830 0.0830 0.0830  3 Np 2.33, 3 O 2.46
O2 0.2191 0.2191 0.2191  3 Np 2.28, 3 O 2.46
O3 0.3680 0.3680 0.3680  1 Np 2.16
O4 0.5000 0.5000 0.5000  2 Np 2.06
O5 0.6320 0.6320 0.6320  1 Np 2.16
O6 0.7809 0.7809 0.7809  3 Np 2.28, 3 O 2.46
O7 0.9170 0.9170 0.9170  3 Np 2.33, 3 O 2.46

Summary:
Its crystal system is trigonal.

---

Winner for stability: *B*

---

*A*
Material: AcNpO6
Method: DFT, GGA-PBE
State: relaxed

a = 4.8875 Å, b = 4.8875 Å, c = 4.8875 Å
α = 97.58°, β = 97.58°, γ = 97.58°
Last column: nearest neighbours and their distance in Å.
Atoms (fractional coordinates):
Ac1 0.0000 0.0000 0.0000  12 O 2.69-2.88
Np1 0.5000 0.5000 0.5000  6 O 1.97
O1 0.2108 0.2108 0.5779  1 Np 1.97
O2 0.2108 0.5779 0.2108  1 Np 1.97
O3 0.4221 0.7892 0.7892  1 Np 1.97
O4 0.5779 0.2108 0.2108  1 Np 1.97
O5 0.7892 0.4221 0.7892  1 Np 1.97
O6 0.7892 0.7892 0.4221  1 Np 1.97

Summary:
Its crystal system is trigonal.

---

*B*
Material: AcNpO6
Method: DFT, GGA-PBE
State: relaxed

a = 5.2220 Å, b = 5.2220 Å, c = 5.4476 Å
α = 90.29°, β = 90.29°, γ = 116.28°
Last column: nearest neighbours and their distance in Å.
Atoms (fractional coordinates):
Ac1 0.0000 0.0000 0.0000  6 O 2.49-2.56
Np1 0.3155 0.6845 0.5000  6 O 1.95-1.98
O1 0.0893 0.4717 0.2093  1 Np 1.98
O2 0.2773 0.3435 0.6729  1 Np 1.95
O3 0.3530 0.0219 0.3183  1 Np 1.96
O4 0.5283 0.9107 0.7907  1 Np 1.98
O5 0.6565 0.7227 0.3271  1 Np 1.95
O6 0.9781 0.6470 0.6817  1 Np 1.96

Summary:
Its crystal system is monoclinic.

---

Winner for stability: *A*

---

*A*
Material: AcNp2O8
Method: DFT, GGA-PBE
State: relaxed

a = 6.5359 Å, b = 6.5359 Å, c = 4.6185 Å
α = 93.94°, β = 93.94°, γ = 71.43°
Last column: nearest neighbours and their distance in Å.
Atoms (fractional coordinates):
Ac1 0.0000 0.0000 0.0000  6 O 2.46-2.55
Np1 0.3727 0.3727 0.7318  4 O 1.89-2.07
Np2 0.6273 0.6273 0.2682  4 O 1.89-2.07
O1 0.1309 0.6267 0.7435  1 Np 1.89
O2 0.1897 0.1897 0.7304  1 Np 1.94
O3 0.3733 0.8691 0.2565  1 Np 1.89
O4 0.4314 0.4314 0.2371  1 Np 2.07
O5 0.5686 0.5686 0.7629  1 Np 2.07
O6 0.6267 0.1309 0.7435  1 Np 1.89
O7 0.8103 0.8103 0.2696  1 Np 1.94
O8 0.8691 0.3733 0.2565  1 Np 1.89

Summary:
Its crystal system is monoclinic.

---

*B*
Material: AcNp2O8
Method: DFT, GGA-PBE
State: relaxed

a = 5.1487 Å, b = 5.1487 Å, c = 5.9869 Å
α = 90.00°, β = 90.00°, γ = 90.00°
Last column: nearest neighbours and their distance in Å.
Atoms (fractional coordinates):
Ac1 0.0000 0.0000 0.0000  8 O 2.55
Np1 0.0000 0.5000 0.5000  8 O 2.18
Np2 0.5000 0.0000 0.5000  8 O 2.18
O1 0.2497 0.2497 0.2990  2 Np 2.18, 1 O 2.41
O2 0.2497 0.2497 0.7010  2 Np 2.18, 1 O 2.41
O3 0.2497 0.7503 0.2990  2 Np 2.18, 1 O 2.41
O4 0.2497 0.7503 0.7010  2 Np 2.18, 1 O 2.41
O5 0.7503 0.2497 0.2990  2 Np 2.18, 1 O 2.41
O6 0.7503 0.2497 0.7010  2 Np 2.18, 1 O 2.41
O7 0.7503 0.7503 0.2990  2 Np 2.18, 1 O 2.41
O8 0.7503 0.7503 0.7010  2 Np 2.18, 1 O 2.41

Summary:
Its crystal system is tetragonal.

---

Winner for stability: *A*

---

*A*
Material: AcNpP
Method: DFT, GGA-PBE
State: relaxed

a = 9.2556 Å, b = 7.7930 Å, c = 7.3864 Å
α = 75.09°, β = 54.45°, γ = 50.46°
Last column: nearest neighbours and their distance in Å.
Atoms (fractional coordinates):
Ac1 0.0000 0.0000 0.0000  4 P 3.13-3.40, 2 Np 3.36
Ac2 0.0000 0.0000 0.5000  4 P 3.13-3.40, 2 Np 3.36
Ac3 0.0000 0.5000 0.0000  4 P 3.13-3.40, 2 Np 3.36
Ac4 0.5000 0.0000 0.0000  4 P 3.13-3.40, 2 Np 3.36
Np1 0.2755 0.4745 0.2755  1 Np 2.51
Np2 0.4745 0.2755 0.4745  1 Np 2.51
Np3 0.5255 0.7245 0.5255  1 Np 2.51
Np4 0.7245 0.5255 0.7245  1 Np 2.51
P1 0.1861 0.1861 0.5639  4 Np 2.83-2.85, 2 Ac 3.13
P2 0.4361 0.4361 0.8139  4 Np 2.83-2.85, 2 Ac 3.13
P3 0.5639 0.5639 0.1861  4 Np 2.83-2.85, 2 Ac 3.13
P4 0.8139 0.8139 0.4361  4 Np 2.83-2.85, 2 Ac 3.13

Summary:
Its crystal system is orthorhombic.

---

*B*
Material: AcNpP
Method: DFT, GGA-PBE
State: relaxed

a = 6.5812 Å, b = 6.5812 Å, c = 6.5812 Å
α = 147.32°, β = 147.32°, γ = 46.88°
Last column: nearest neighbours and their distance in Å.
Atoms (fractional coordinates):
Ac1 0.0000 0.0000 0.0000  1 Np 3.18, 4 P 3.30
Np1 0.2630 0.2630 0.0000  4 P 2.87, 1 Ac 3.18
P1 0.6660 0.6660 0.0000  4 Np 2.87

Summary:
Its crystal system is tetragonal.

---

Winner for stability: *A*